A plane-wave DFT calculation with PBE-GGA was carried out for a relaxed structure of Pm4SmTh.

Calculated values
DFT formation energy, eV/f.u.: 1.48
Total magnetic moment, μB per formula unit: 0.00
E_tot, eV/cell: -59.31
Energy above the lowest structure with this stoichiometry, eV/f.u.: 1.32
Density of states at the Fermi level, states/eV per atom: 2.163

CIF file:
```
data_Pm4SmTh
_space_group_name_H-M_alt 'P 1'
_space_group_IT_number 1
_space_group_name_Hall 'P 1'
_cell_length_a 6.532
_cell_length_b 6.532
_cell_length_c 11.151
_cell_angle_alpha 90.00
_cell_angle_beta 90.00
_cell_angle_gamma 119.96
loop_
_atom_site_label
_atom_site_type_symbol
_atom_site_fract_x
_atom_site_fract_y
_atom_site_fract_z
_atom_site_occupancy
Pm1 Pm 0.331 0.669 0.440 1
Th1 Th 0.000 0.000 0.500 1
Sm1 Sm 0.829 0.171 0.250 1
Sm2 Sm 0.171 0.829 0.750 1
Pm2 Pm 0.828 0.663 0.250 1
Th2 Th 0.000 0.000 0.000 1
Pm3 Pm 0.331 0.669 0.060 1
Pm4 Pm 0.669 0.331 0.560 1
Pm5 Pm 0.337 0.172 0.250 1
Pm6 Pm 0.669 0.331 0.940 1
Pm7 Pm 0.172 0.337 0.750 1
Pm8 Pm 0.663 0.828 0.750 1
```